# 1
The following is a DFT calculation (GGA-PBE) of an optimized crystal structure of NaAl2CoC.

Computed properties:
VASP energy = -3.601 eV/atom

Structure (CIF):
```
data_NaAl2CoC
_cell_length_a 4.446
_cell_length_b 5.126
_cell_length_c 4.446
_cell_angle_alpha 90.00
_cell_angle_beta 90.00
_cell_angle_gamma 90.00
_symmetry_space_group_name_H-M 'P 1'
_symmetry_Int_Tables_number 1
_symmetry_space_group_name_Hall 'P 1'
loop_
_atom_site_label
_atom_site_fract_x
_atom_site_fract_y
_atom_site_fract_z
Al1 0.000 0.000 0.500
Al2 0.500 0.000 0.000
Co1 0.000 0.000 0.000
C1 0.500 0.500 0.500
Na1 0.000 0.500 0.000
```

# 2
The following is a DFT calculation (GGA-PBE) of an optimized crystal structure of CaSc2S3.

Computed properties:
raw formation energy = -1917.3 meV/atom

Structure (CIF):
```
data_CaSc2S3
_cell_length_a 3.772
_cell_length_b 5.370
_cell_length_c 6.579
_cell_angle_alpha 114.09
_cell_angle_beta 106.66
_cell_angle_gamma 90.00
_symmetry_space_group_name_H-M 'P 1'
_symmetry_Int_Tables_number 1
_symmetry_space_group_name_Hall 'P 1'
loop_
_atom_site_label
_atom_site_fract_x
_atom_site_fract_y
_atom_site_fract_z
S1 0.824 0.324 0.147
S2 0.176 0.676 0.853
S3 0.500 0.000 0.500
Sc1 0.162 0.162 0.825
Sc2 0.838 0.838 0.175
Ca1 0.500 0.500 0.500
```

# 3
The following is a DFT calculation (GGA-PBE) of an optimized crystal structure of PuZr3Sc.

Computed properties:
distance to the lowest polymorph of the same formula = 0 meV per atom

Structure (CIF):
```
data_PuZr3Sc
_cell_length_a 7.208
_cell_length_b 16.080
_cell_length_c 7.853
_cell_angle_alpha 144.75
_cell_angle_beta 43.10
_cell_angle_gamma 153.45
_symmetry_space_group_name_H-M 'P 1'
_symmetry_Int_Tables_number 1
_symmetry_space_group_name_Hall 'P 1'
loop_
_atom_site_label
_atom_site_fract_x
_atom_site_fract_y
_atom_site_fract_z
Zr1 0.748 0.450 0.252
Zr2 0.252 0.550 0.748
Zr3 0.755 0.052 0.250
Zr4 0.755 0.651 0.248
Zr5 0.245 0.349 0.752
Zr6 0.245 0.948 0.750
Sc1 0.741 0.849 0.253
Sc2 0.259 0.151 0.747
Pu1 0.245 0.749 0.754
Pu2 0.755 0.251 0.246
```

# 4
The following is a DFT calculation (GGA-PBE) of an optimized crystal structure of Rb3Ca2NpO6.

Computed properties:
raw formation energy = -2411.6 meV/atom

Structure (CIF):
```
data_Rb3Ca2NpO6
_cell_length_a 6.119
_cell_length_b 6.119
_cell_length_c 6.828
_cell_angle_alpha 98.56
_cell_angle_beta 98.56
_cell_angle_gamma 119.97
_symmetry_space_group_name_H-M 'P 1'
_symmetry_Int_Tables_number 1
_symmetry_space_group_name_Hall 'P 1'
loop_
_atom_site_label
_atom_site_fract_x
_atom_site_fract_y
_atom_site_fract_z
O1 0.638 0.941 0.823
O2 0.362 0.059 0.177
O3 0.758 0.758 0.179
O4 0.242 0.242 0.821
O5 0.059 0.362 0.177
O6 0.941 0.638 0.823
Np1 0.000 0.000 0.000
Ca1 0.334 0.666 0.000
Ca2 0.666 0.334 0.000
Rb1 0.500 0.500 0.500
Rb2 0.829 0.171 0.500
Rb3 0.171 0.829 0.500
```

# 5
The following is a DFT calculation (GGA-PBE) of an optimized crystal structure of ThPPt4.

Computed properties:
VASP energy = -6.951 eV/atom

Structure (CIF):
```
data_ThPPt4
_cell_length_a 4.275
_cell_length_b 5.640
_cell_length_c 9.790
_cell_angle_alpha 90.00
_cell_angle_beta 102.61
_cell_angle_gamma 90.00
_symmetry_space_group_name_H-M 'P 1'
_symmetry_Int_Tables_number 1
_symmetry_space_group_name_Hall 'P 1'
loop_
_atom_site_label
_atom_site_fract_x
_atom_site_fract_y
_atom_site_fract_z
Pt1 0.000 0.500 0.000
Pt2 0.204 0.010 0.408
Pt3 0.657 0.750 0.314
Pt4 0.343 0.250 0.686
Pt5 0.796 0.510 0.592
Pt6 0.000 0.000 0.000
Pt7 0.796 0.990 0.592
Pt8 0.204 0.490 0.408
P1 0.099 0.750 0.199
P2 0.901 0.250 0.801
Th1 0.391 0.750 0.782
Th2 0.609 0.250 0.218
```

# 6
The following is a DFT calculation (GGA-PBE) of an optimized crystal structure of PrYHo5Er2.

Computed properties:
VASP energy = -4.643 eV/atom

Structure (CIF):
```
data_PrYHo5Er2
_cell_length_a 5.591
_cell_length_b 10.251
_cell_length_c 10.572
_cell_angle_alpha 90.00
_cell_angle_beta 90.00
_cell_angle_gamma 105.82
_symmetry_space_group_name_H-M 'P 1'
_symmetry_Int_Tables_number 1
_symmetry_space_group_name_Hall 'P 1'
loop_
_atom_site_label
_atom_site_fract_x
_atom_site_fract_y
_atom_site_fract_z
Ho1 0.388 0.776 0.022
Ho2 0.522 0.043 0.237
Ho3 0.701 0.403 0.211
Ho4 0.612 0.224 0.522
Ho5 0.478 0.957 0.737
Ho6 0.299 0.597 0.711
Ho7 0.018 0.036 0.025
Ho8 0.982 0.964 0.525
Ho9 0.282 0.564 0.311
Ho10 0.718 0.436 0.811
Pr1 0.583 0.167 0.951
Pr2 0.417 0.833 0.451
Y1 0.200 0.401 0.013
Y2 0.800 0.599 0.513
Er1 0.114 0.227 0.319
Er2 0.111 0.222 0.735
Er3 0.886 0.773 0.819
Er4 0.889 0.778 0.235
```